This record from Alexandria via LeMat-Bulk describes a relaxed structure of In2CuHg2. The functional is PBE.

Structure (POSCAR):
```
In2CuHg2
1.0
4.1280 0.0000 0.0000
0.0000 4.1280 0.0000
2.0640 2.0640 7.7348
Hg Cu In
2 1 2
Direct
0.4099 0.4099 0.1801
0.5901 0.5901 0.8199
0.0000 0.0000 0.0000
0.7500 0.2500 0.5000
0.2500 0.7500 0.5000
```

Properties
Size of the total moment   0.000 μB per formula unit
V   26.36 Å³/atom
Energy above the most stable polymorph in this dataset   246 meV/atom
Fermi-level density of states   2.35 states/eV/f.u.
ΔH_f (0 K)   0.39 eV per atom

=====

This record from Alexandria via LeMat-Bulk describes a relaxed structure of Ho2Al3Si2. The functional is PBE.

Structure (POSCAR):
```
Ho2Al3Si2
1.0
-0.5640 -1.8800 3.5346
2.0234 -3.3717 -3.7824
5.5753 2.6623 2.2998
Si Ho Al
2 2 3
Direct
0.9063 0.8130 0.3601
0.0937 0.1870 0.6399
0.3806 0.7612 0.6773
0.6194 0.2388 0.3227
0.6955 0.3902 0.8666
0.0000 0.0000 0.0000
0.3045 0.6098 0.1334
```

Properties
Size of the total moment   0.000 μB per formula unit
V   18.94 Å³/atom
Fermi-level density of states   2.23 states/eV/f.u.
ΔE_f (raw)   -3.83 eV per formula unit

=====

This record from Alexandria via LeMat-Bulk describes a relaxed structure of Ti2GeC. The functional is PBE.

Structure (POSCAR):
```
Ti2GeC
1.0
6.2135 0.0000 0.0000
0.0000 6.2135 0.0000
3.1067 3.1067 2.9634
Ge C Ti
2 2 4
Direct
0.0000 0.0000 0.0000
0.7500 0.2500 0.5000
0.5000 0.5000 0.0000
0.2500 0.7500 0.5000
0.5585 0.1250 0.2500
0.1915 0.6250 0.2500
0.3750 0.4415 0.7500
0.8750 0.8085 0.7500
```

Properties
Size of the total moment   0.000 μB per formula unit
V   14.30 Å³/atom
Energy above the most stable polymorph in this dataset   583 meV/atom
Fermi-level density of states   1.64 states/eV/f.u.
ΔH_f (0 K)   -0.22 eV per atom

=====

This record from Alexandria via LeMat-Bulk describes a relaxed structure of BaPaGeN4. The functional is PBE.

Structure (POSCAR):
```
BaPaGeN4
1.0
-2.0102 4.8401 2.2685
-5.0472 -2.5464 0.9604
3.1321 -4.0871 5.6239
Ba Pa Ge N
2 2 2 8
Direct
0.7032 0.7500 0.9267
0.2968 0.2500 0.0733
0.7838 0.7500 0.4510
0.2162 0.2500 0.5490
0.2440 0.7500 0.3274
0.7560 0.2500 0.6726
0.9788 0.4945 0.6826
0.0212 0.9945 0.3174
0.0212 0.5055 0.3174
0.9788 0.0055 0.6826
0.4487 0.7500 0.1805
0.5513 0.2500 0.8195
0.4726 0.7500 0.5665
0.5274 0.2500 0.4335
```

Properties
Size of the total moment   0.030 μB per formula unit
V   16.98 Å³/atom
Fermi-level density of states   4.90 states/eV/f.u.
ΔE_f (raw)   -4.40 eV per formula unit

=====

This record from Alexandria via LeMat-Bulk describes a relaxed structure of TaCo4P. The functional is PBE.

Structure (POSCAR):
```
TaCo4P
1.0
-2.1454 -3.9622 -1.2134
-0.4842 -3.4397 3.1158
-4.2142 -0.9980 1.7375
Ta Co P
1 4 1
Direct
0.0000 0.0000 0.0000
0.8748 0.3751 0.3751
0.3751 0.3751 0.8748
0.3751 0.8748 0.3751
0.3751 0.3751 0.3751
0.7500 0.7500 0.7500
```

Properties
Size of the total moment   1.539 μB per formula unit
V   11.97 Å³/atom
Fermi-level density of states   8.26 states/eV/f.u.
ΔH_f (0 K)   0.05 eV per atom

=====

This record from Alexandria via LeMat-Bulk describes a relaxed structure of PuHg2Pd9. The functional is PBE.

Structure (POSCAR):
```
PuHg2Pd9
1.0
-0.1623 0.5186 -4.0514
0.2661 -4.0446 -0.5284
-12.2092 -0.8529 0.3799
Pu Hg Pd
1 2 9
Direct
0.0000 0.0000 0.0000
0.0000 0.0000 0.3367
0.0000 0.0000 0.6633
0.5000 0.5000 0.0000
0.5000 0.5000 0.3329
0.5000 0.5000 0.6671
0.5000 0.0000 0.1666
0.5000 0.0000 0.5000
0.5000 0.0000 0.8334
0.0000 0.5000 0.1666
0.0000 0.5000 0.5000
0.0000 0.5000 0.8334
```

Properties
Size of the total moment   4.131 μB per formula unit
V   17.05 Å³/atom
Fermi-level density of states   21.45 states/eV/f.u.
ΔH_f (0 K)   -0.26 eV per atom